NaVPb2O4: relaxed, PBE with a Hubbard U.

Computed properties:
The value obtained for the volume is 145 Å³/f.u. The total energy comes out at -5.888 eV/atom. As for the magnetic moment: 0.0 μB/f.u. As for the density: 6321 kg/m³.

The structure in POSCAR format:
```
NaVPb2O4
1.0
4.8097 0.1871 0.0000
-0.2125 4.8086 0.0000
-2.2986 -2.4979 6.2628
Na V Pb O
1 1 2 4
direct
0.0012 0.0012 0.0023
0.4994 0.4994 0.9989
0.7517 0.2517 0.5034
0.2517 0.7517 0.5034
0.6213 0.6213 0.8296
0.3787 0.7881 0.1668
0.7881 0.3787 0.1668
0.2082 0.2082 0.8296
```